Entry 1:
DFT (PBE) results for a relaxed La4NdHoTm2 crystal.

Values from the calculation:
- total energy (eV per atom) = -4.6694
- crystal system = tetragonal

Structure (CIF):
```
data_La4NdHoTm2
_cell_length_a 5.967
_cell_length_b 5.967
_cell_length_c 7.751
_cell_angle_alpha 90.00
_cell_angle_beta 90.00
_cell_angle_gamma 90.00
_space_group_name_H-M_alt 'P 4/m m m'
_space_group_IT_number 123
_space_group_name_Hall '-P 4 2'
loop_
_atom_site_label
_atom_site_type_symbol
_atom_site_fract_x
_atom_site_fract_y
_atom_site_fract_z
La1 La 0.000 0.500 0.243
Nd1 Nd 0.000 0.000 0.500
Ho1 Ho 0.500 0.500 0.000
Tm1 Tm 0.000 0.000 0.000
Tm2 Tm 0.500 0.500 0.500
```

---

Entry 2:
DFT (PBE) results for a relaxed LaNd4Ho2Tm crystal.

Values from the calculation:
- total energy (eV per atom) = -4.6845
- crystal system = monoclinic

Structure (CIF):
```
data_LaNd4Ho2Tm
_cell_length_a 6.260
_cell_length_b 3.645
_cell_length_c 11.986
_cell_angle_alpha 90.00
_cell_angle_beta 100.17
_cell_angle_gamma 90.00
_space_group_name_H-M_alt 'P 1 2/m 1'
_space_group_IT_number 10
_space_group_name_Hall '-P 2y'
loop_
_atom_site_label
_atom_site_type_symbol
_atom_site_fract_x
_atom_site_fract_y
_atom_site_fract_z
La1 La 0.000 0.000 0.000
Nd1 Nd 0.251 0.000 0.749
Nd2 Nd 0.251 0.500 0.255
Ho1 Ho 0.000 0.500 0.500
Ho2 Ho 0.500 0.000 0.500
Tm1 Tm 0.500 0.500 0.000
```

---

Entry 3:
DFT (PBE) results for a relaxed LaNdHoTm crystal.

Values from the calculation:
- excess energy over the best structure of this formula in the dataset (meV/atom) = 7.9
- total energy (eV per atom) = -4.5878
- crystal system = monoclinic

Structure (CIF):
```
data_LaNdHoTm
_cell_length_a 12.465
_cell_length_b 5.896
_cell_length_c 3.832
_cell_angle_alpha 90.00
_cell_angle_beta 107.25
_cell_angle_gamma 90.00
_space_group_name_H-M_alt 'C 1 m 1'
_space_group_IT_number 8
_space_group_name_Hall 'C -2y'
loop_
_atom_site_label
_atom_site_type_symbol
_atom_site_fract_x
_atom_site_fract_y
_atom_site_fract_z
La1 La 0.000 0.000 0.000
Nd1 Nd 0.232 0.500 0.167
Ho1 Ho 0.255 0.000 0.704
Tm1 Tm 0.489 0.000 0.458
```

---

Entry 4:
DFT (PBE) results for a relaxed La5NdHoTm2 crystal.

Values from the calculation:
- total energy (eV per atom) = -4.6407
- crystal system = orthorhombic

Structure (CIF):
```
data_La5NdHoTm2
_cell_length_a 5.498
_cell_length_b 21.633
_cell_length_c 10.711
_cell_angle_alpha 90.00
_cell_angle_beta 90.00
_cell_angle_gamma 90.00
_space_group_name_H-M_alt 'C m c 21'
_space_group_IT_number 36
_space_group_name_Hall 'C 2c -2'
loop_
_atom_site_label
_atom_site_type_symbol
_atom_site_fract_x
_atom_site_fract_y
_atom_site_fract_z
La1 La 0.000 0.000 0.000
La2 La 0.000 0.123 0.250
La3 La 0.000 0.220 0.942
La4 La 0.000 0.221 0.561
La5 La 0.000 0.500 0.250
Nd1 Nd 0.000 0.286 0.251
Ho1 Ho 0.000 0.100 0.750
Tm1 Tm 0.000 0.387 0.003
Tm2 Tm 0.000 0.388 0.498
```

---

Entry 5:
DFT (PBE) results for a relaxed La3NdHo6Tm2 crystal.

Values from the calculation:
- total energy (eV per atom) = -4.6399
- crystal system = monoclinic

Structure (CIF):
```
data_La3NdHo6Tm2
_cell_length_a 6.216
_cell_length_b 10.767
_cell_length_c 11.851
_cell_angle_alpha 90.00
_cell_angle_beta 100.07
_cell_angle_gamma 90.00
_space_group_name_H-M_alt 'C 1 2/m 1'
_space_group_IT_number 12
_space_group_name_Hall '-C 2y'
loop_
_atom_site_label
_atom_site_type_symbol
_atom_site_fract_x
_atom_site_fract_y
_atom_site_fract_z
La1 La 0.000 0.000 0.000
La2 La 0.000 0.333 0.000
Nd1 Nd 0.000 0.500 0.500
Ho1 Ho 0.247 0.000 0.745
Ho2 Ho 0.249 0.333 0.745
Tm1 Tm 0.000 0.167 0.500
```

---

Entry 6:
DFT (PBE) results for a relaxed La2Nd2HoTm2 crystal.

Values from the calculation:
- total energy (eV per atom) = -4.6724
- crystal system = monoclinic

Structure (CIF):
```
data_La2Nd2HoTm2
_cell_length_a 11.492
_cell_length_b 5.143
_cell_length_c 8.067
_cell_angle_alpha 90.00
_cell_angle_beta 98.38
_cell_angle_gamma 90.00
_space_group_name_H-M_alt 'C 1 2/m 1'
_space_group_IT_number 12
_space_group_name_Hall '-C 2y'
loop_
_atom_site_label
_atom_site_type_symbol
_atom_site_fract_x
_atom_site_fract_y
_atom_site_fract_z
La1 La 0.144 0.000 0.427
Nd1 Nd 0.071 0.500 0.722
Ho1 Ho 0.000 0.000 0.000
Tm1 Tm 0.216 0.500 0.137
```

---

Entry 7:
DFT (PBE) results for a relaxed La2Nd3Ho6Tm crystal.

Values from the calculation:
- total energy (eV per atom) = -4.6585
- crystal system = monoclinic

Structure (CIF):
```
data_La2Nd3Ho6Tm
_cell_length_a 6.243
_cell_length_b 10.813
_cell_length_c 11.850
_cell_angle_alpha 90.00
_cell_angle_beta 100.09
_cell_angle_gamma 90.00
_space_group_name_H-M_alt 'C 1 2/m 1'
_space_group_IT_number 12
_space_group_name_Hall '-C 2y'
loop_
_atom_site_label
_atom_site_type_symbol
_atom_site_fract_x
_atom_site_fract_y
_atom_site_fract_z
La1 La 0.000 0.166 0.000
Nd1 Nd 0.000 0.000 0.500
Nd2 Nd 0.000 0.333 0.500
Ho1 Ho 0.248 0.500 0.749
Ho2 Ho 0.250 0.166 0.750
Tm1 Tm 0.000 0.500 0.000
```

---

Entry 8:
DFT (PBE) results for a relaxed La2NdHo2Tm2 crystal.

Values from the calculation:
- total energy (eV per atom) = -4.6409
- crystal system = monoclinic

Structure (CIF):
```
data_La2NdHo2Tm2
_cell_length_a 11.379
_cell_length_b 5.085
_cell_length_c 8.092
_cell_angle_alpha 90.00
_cell_angle_beta 98.26
_cell_angle_gamma 90.00
_space_group_name_H-M_alt 'C 1 2/m 1'
_space_group_IT_number 12
_space_group_name_Hall '-C 2y'
loop_
_atom_site_label
_atom_site_type_symbol
_atom_site_fract_x
_atom_site_fract_y
_atom_site_fract_z
La1 La 0.142 0.000 0.428
Nd1 Nd 0.000 0.000 0.000
Ho1 Ho 0.071 0.500 0.719
Tm1 Tm 0.216 0.500 0.138
```

---

Entry 9:
DFT (PBE) results for a relaxed LaNd2Ho2Tm2 crystal.

Values from the calculation:
- total energy (eV per atom) = -4.5080
- crystal system = monoclinic

Structure (CIF):
```
data_LaNd2Ho2Tm2
_cell_length_a 11.615
_cell_length_b 3.509
_cell_length_c 11.801
_cell_angle_alpha 90.00
_cell_angle_beta 101.26
_cell_angle_gamma 90.00
_space_group_name_H-M_alt 'C 1 2/m 1'
_space_group_IT_number 12
_space_group_name_Hall '-C 2y'
loop_
_atom_site_label
_atom_site_type_symbol
_atom_site_fract_x
_atom_site_fract_y
_atom_site_fract_z
La1 La 0.000 0.000 0.000
Nd1 Nd 0.155 0.500 0.575
Ho1 Ho 0.093 0.500 0.271
Tm1 Tm 0.205 0.500 0.872
```

---

Entry 10:
DFT (PBE) results for a relaxed La6Nd2HoTm crystal.

Values from the calculation:
- total energy (eV per atom) = -4.7008
- crystal system = monoclinic

Structure (CIF):
```
data_La6Nd2HoTm
_cell_length_a 9.894
_cell_length_b 15.341
_cell_length_c 9.296
_cell_angle_alpha 90.00
_cell_angle_beta 90.69
_cell_angle_gamma 90.00
_space_group_name_H-M_alt 'C 1 2/c 1'
_space_group_IT_number 15
_space_group_name_Hall '-C 2yc'
loop_
_atom_site_label
_atom_site_type_symbol
_atom_site_fract_x
_atom_site_fract_y
_atom_site_fract_z
La1 La 0.074 0.144 0.095
La2 La 0.074 0.351 0.909
La3 La 0.247 0.282 0.319
Nd1 Nd 0.250 0.044 0.438
Ho1 Ho 0.000 0.435 0.250
Tm1 Tm 0.000 0.070 0.750
```

---

Entry 11:
DFT (PBE) results for a relaxed La2Nd3HoTm6 crystal.

Values from the calculation:
- total energy (eV per atom) = -4.6115
- crystal system = monoclinic

Structure (CIF):
```
data_La2Nd3HoTm6
_cell_length_a 6.222
_cell_length_b 10.774
_cell_length_c 11.757
_cell_angle_alpha 90.00
_cell_angle_beta 100.15
_cell_angle_gamma 90.00
_space_group_name_H-M_alt 'C 1 2/m 1'
_space_group_IT_number 12
_space_group_name_Hall '-C 2y'
loop_
_atom_site_label
_atom_site_type_symbol
_atom_site_fract_x
_atom_site_fract_y
_atom_site_fract_z
La1 La 0.000 0.166 0.000
Nd1 Nd 0.000 0.000 0.500
Nd2 Nd 0.000 0.333 0.500
Ho1 Ho 0.000 0.500 0.000
Tm1 Tm 0.248 0.500 0.749
Tm2 Tm 0.250 0.166 0.749
```

---

Entry 12:
DFT (PBE) results for a relaxed La2NdHo6Tm3 crystal.

Values from the calculation:
- total energy (eV per atom) = -4.5986
- crystal system = monoclinic

Structure (CIF):
```
data_La2NdHo6Tm3
_cell_length_a 6.185
_cell_length_b 10.708
_cell_length_c 11.797
_cell_angle_alpha 90.00
_cell_angle_beta 100.06
_cell_angle_gamma 90.00
_space_group_name_H-M_alt 'C 1 2/m 1'
_space_group_IT_number 12
_space_group_name_Hall '-C 2y'
loop_
_atom_site_label
_atom_site_type_symbol
_atom_site_fract_x
_atom_site_fract_y
_atom_site_fract_z
La1 La 0.000 0.167 0.000
Nd1 Nd 0.000 0.500 0.000
Ho1 Ho 0.246 0.500 0.743
Ho2 Ho 0.247 0.166 0.743
Tm1 Tm 0.000 0.000 0.500
Tm2 Tm 0.000 0.333 0.500
```